[1]
{
  "formula": "Al2Ru",
  "functional": "PBE",
  "state": "optimized geometry",
  "lattice_angstrom": [[-1.224, 1.711, 1.924], [1.441, -3.550, 4.074], [6.065, 3.410, 0.826]],
  "species": ["Al", "Ru", "Ru", "Al", "Al", "Al"],
  "frac_coords": [[0.000, 0.276, 0.727], [0.000, 0.000, 0.000], [0.500, 0.500, 0.500], [0.500, 0.224, 0.227], [0.500, 0.776, 0.773], [0.000, 0.724, 0.273]],
  "e_tot_ry_per_atom": -0.4184,
  "magnetic_moment_mub_per_cell": 0.452,
  "e_form_ev_per_atom": -0.1057
}


[2]
{
  "formula": "Al3Ru5",
  "functional": "PBE",
  "state": "optimized geometry",
  "lattice_angstrom": [[-4.236, 5.296, 2.361], [-1.815, -3.696, -5.883], [-2.521, -3.283, 2.841]],
  "species": ["Ru", "Ru", "Ru", "Ru", "Al", "Al", "Ru", "Ru", "Al", "Al", "Ru", "Ru", "Al", "Ru", "Ru", "Al"],
  "frac_coords": [[0.769, 0.769, 0.250], [0.769, 0.000, 0.750], [0.000, 0.769, 0.750], [0.333, 0.667, 0.000], [0.000, 0.398, 0.750], [0.398, 0.000, 0.750], [0.667, 0.333, 0.500], [0.667, 0.333, 0.000], [0.000, 0.602, 0.250], [0.602, 0.000, 0.250], [0.000, 0.231, 0.250], [0.231, 0.231, 0.750], [0.398, 0.398, 0.250], [0.231, 0.000, 0.250], [0.333, 0.667, 0.500], [0.602, 0.602, 0.750]],
  "e_tot_ry_per_atom": -0.5490,
  "polymorph_energy_ev_per_fu": 0.99,
  "magnetic_moment_mub_per_cell": 0.000,
  "e_form_ev_per_atom": -0.2692
}